Record 1
# Tb3NdSmEr (PBE, optimized geometry)
data_Tb3NdSmEr
_chemical_formula_sum 'Tb12 Nd4 Sm4 Er4'
_cell_length_a 5.064
_cell_length_b 15.214
_cell_length_c 10.130
_cell_angle_alpha 90.00
_cell_angle_beta 90.00
_cell_angle_gamma 90.00
_symmetry_space_group_name_H-M 'C m c m'
_symmetry_Int_Tables_number 63
_symmetry_space_group_name_Hall '-C 2c 2'
loop_
_atom_site_label
_atom_site_type_symbol
_atom_site_fract_x
_atom_site_fract_y
_atom_site_fract_z
Tb1 Tb 0.000 0.168 0.000
Tb2 Tb 0.000 0.332 0.250
Nd1 Nd 0.000 0.500 0.000
Sm1 Sm 0.000 0.000 0.250
Er1 Er 0.000 0.332 0.750
# Energy of formation from the pure elements = 19 meV/atom
# E = -0.17045 hartree per atom


Record 2
# B2SeSN (PBE, optimized geometry)
data_B2SeSN
_chemical_formula_sum 'B2 Se1 S1 N1'
_cell_length_a 4.027
_cell_length_b 4.027
_cell_length_c 4.838
_cell_angle_alpha 90.00
_cell_angle_beta 90.00
_cell_angle_gamma 90.00
_symmetry_space_group_name_H-M 'P 4/m m m'
_symmetry_Int_Tables_number 123
_symmetry_space_group_name_Hall '-P 4 2'
loop_
_atom_site_label
_atom_site_type_symbol
_atom_site_fract_x
_atom_site_fract_y
_atom_site_fract_z
B1 B 0.000 0.500 0.000
Se1 Se 0.000 0.000 0.000
S1 S 0.000 0.000 0.500
N1 N 0.500 0.500 0.500
# Formation energy (no corrections) = 2.6913 eV per atom
# E = -0.11639 hartree per atom


Record 3
# MnZnFe2Co (PBE, optimized geometry)
data_MnZnFe2Co
_chemical_formula_sum 'Mn1 Zn1 Fe2 Co1'
_cell_length_a 4.185
_cell_length_b 4.185
_cell_length_c 4.198
_cell_angle_alpha 90.00
_cell_angle_beta 90.00
_cell_angle_gamma 90.00
_symmetry_space_group_name_H-M 'P 4/m m m'
_symmetry_Int_Tables_number 123
_symmetry_space_group_name_Hall '-P 4 2'
loop_
_atom_site_label
_atom_site_type_symbol
_atom_site_fract_x
_atom_site_fract_y
_atom_site_fract_z
Mn1 Mn 0.000 0.000 0.000
Zn1 Zn 0.500 0.500 0.500
Fe1 Fe 0.000 0.500 0.000
Co1 Co 0.000 0.000 0.500
# Energy of formation from the pure elements = 1099 meV/atom
# E = -0.21300 hartree per atom


Record 4
# TlGeSbO5 (PBE, optimized geometry)
data_TlGeSbO5
_chemical_formula_sum 'Tl8 Ge8 Sb8 O40'
_cell_length_a 13.593
_cell_length_b 6.768
_cell_length_c 10.967
_cell_angle_alpha 90.00
_cell_angle_beta 90.00
_cell_angle_gamma 90.00
_symmetry_space_group_name_H-M 'P n a 21'
_symmetry_Int_Tables_number 33
_symmetry_space_group_name_Hall 'P 2c -2n'
loop_
_atom_site_label
_atom_site_type_symbol
_atom_site_fract_x
_atom_site_fract_y
_atom_site_fract_z
Tl1 Tl 0.107 0.200 0.000
Tl2 Tl 0.113 0.782 0.238
Ge1 Ge 0.003 0.320 0.321
Ge2 Ge 0.182 0.013 0.572
Sb1 Sb 0.120 0.509 0.570
Sb2 Sb 0.244 0.758 0.826
O1 O 0.006 0.543 0.683
O2 O 0.016 0.499 0.438
O3 O 0.100 0.836 0.842
O4 O 0.104 0.216 0.602
O5 O 0.110 0.804 0.532
O6 O 0.111 0.176 0.311
O7 O 0.220 0.546 0.701
O8 O 0.226 0.472 0.447
O9 O 0.229 0.554 0.955
O10 O 0.238 0.464 0.197
# Formation energy (no corrections) = -1.4184 eV per atom
# E = -0.21702 hartree per atom


Record 5
# ReRh (PBE, optimized geometry)
data_ReRh
_chemical_formula_sum 'Re6 Rh6'
_cell_length_a 10.022
_cell_length_b 2.731
_cell_length_c 6.535
_cell_angle_alpha 90.00
_cell_angle_beta 104.04
_cell_angle_gamma 90.00
_symmetry_space_group_name_H-M 'C 1 m 1'
_symmetry_Int_Tables_number 8
_symmetry_space_group_name_Hall 'C -2y'
loop_
_atom_site_label
_atom_site_type_symbol
_atom_site_fract_x
_atom_site_fract_y
_atom_site_fract_z
Re1 Re 0.000 0.000 0.000
Re2 Re 0.059 0.000 0.616
Re3 Re 0.171 0.500 0.333
Rh1 Rh 0.220 0.500 0.944
Rh2 Rh 0.339 0.000 0.667
Rh3 Rh 0.394 0.000 0.281
# Energy of formation from the pure elements = -124 meV/atom
# Energy relative to the lowest polymorph listed for this composition = 0.053 eV per atom
# E = -0.36838 hartree per atom


Record 6
# Th2Zn16Ru (PBE, optimized geometry)
data_Th2Zn16Ru
_chemical_formula_sum 'Th6 Zn48 Ru3'
_cell_length_a 9.0799
_cell_length_b 9.0799
_cell_length_c 13.1599
_cell_angle_alpha 90.00
_cell_angle_beta 90.00
_cell_angle_gamma 120.00
_symmetry_space_group_name_H-M 'R 3 m'
_symmetry_Int_Tables_number 160
_symmetry_space_group_name_Hall 'R 3 -2"'
loop_
_atom_site_label
_atom_site_type_symbol
_atom_site_fract_x
_atom_site_fract_y
_atom_site_fract_z
Th1 Th 0.0000 0.0000 0.0000
Th2 Th 0.0000 0.0000 0.3316
Zn1 Zn 0.0000 0.0000 0.5750
Zn2 Zn 0.9998 0.2832 0.6765
Zn3 Zn 0.0093 0.5047 0.8242
Zn4 Zn 0.1686 0.3373 0.5085
Zn5 Zn 0.1685 0.3371 0.8546
Ru1 Ru 0.0000 0.0000 0.7819
# Energy of formation from the pure elements = -219 meV/atom
# E = -0.09411 hartree per atom


Record 7
# Pr3Sm8Y2 (PBE, optimized geometry)
data_Pr3Sm8Y2
_chemical_formula_sum 'Pr6 Sm16 Y4'
_cell_length_a 14.880
_cell_length_b 11.034
_cell_length_c 5.786
_cell_angle_alpha 90.00
_cell_angle_beta 108.41
_cell_angle_gamma 90.00
_symmetry_space_group_name_H-M 'C 1 2/m 1'
_symmetry_Int_Tables_number 12
_symmetry_space_group_name_Hall '-C 2y'
loop_
_atom_site_label
_atom_site_type_symbol
_atom_site_fract_x
_atom_site_fract_y
_atom_site_fract_z
Pr1 Pr 0.000 0.000 0.000
Pr2 Pr 0.000 0.245 0.500
Sm1 Sm 0.075 0.500 0.239
Sm2 Sm 0.169 0.000 0.625
Sm3 Sm 0.173 0.230 0.167
Y1 Y 0.171 0.500 0.801
# Energy of formation from the pure elements = 179 meV/atom
# Energy relative to the lowest polymorph listed for this composition = 0.000 eV per atom
# E = -0.17722 hartree per atom


Record 8
# AlFeGe (PBE, optimized geometry)
data_AlFeGe
_chemical_formula_sum 'Al2 Fe2 Ge2'
_cell_length_a 4.055
_cell_length_b 4.055
_cell_length_c 5.405
_cell_angle_alpha 90.00
_cell_angle_beta 90.00
_cell_angle_gamma 90.00
_symmetry_space_group_name_H-M 'P 42/m m c'
_symmetry_Int_Tables_number 131
_symmetry_space_group_name_Hall '-P 4c 2'
loop_
_atom_site_label
_atom_site_type_symbol
_atom_site_fract_x
_atom_site_fract_y
_atom_site_fract_z
Al1 Al 0.000 0.500 0.000
Fe1 Fe 0.000 0.000 0.250
Ge1 Ge 0.000 0.500 0.500
# Energy of formation from the pure elements = -162 meV/atom
# E = -0.21201 hartree per atom


Number 1: spin magnetization 0.0 μB per cell. Number 2: spin magnetization 0.0 μB per cell. Number 3: spin magnetization 3.3 μB per cell. Number 4: spin magnetization 0.0 μB per cell. Number 5: spin magnetization 0.0 μB per cell. Number 6: spin magnetization 0.0 μB per cell. Number 7: spin magnetization 0.0 μB per cell. Number 8: spin magnetization 0.0 μB per cell.